First-principles (GGA-PBEsol) data for a relaxed structure of MgMnTc2, as listed in Alexandria via LeMat-Bulk.

Unit cell a=3.659 b=3.659 c=4.905 alpha=111.90 beta=111.90 gamma=90.00
Site moments in Bohr magnetons follow the coordinates.
Atoms (fractional coordinates):
Mg1 0.500 0.500 0.000  -0.01
Mn1 0.000 0.000 0.000  2.41
Tc1 0.750 0.250 0.500  -0.17
Tc2 0.250 0.750 0.500  -0.17

The formation energy is 0.33 eV/atom. As for the theoretical density: 8.2 g/cm3.